# 1
AlNi2HOs, relaxed, DFT PBE; energy = -6.14 eV per atom; N(E_F) = 3.88 states/eV/cell; spin magnetization = 0.000 μB per atom; space-group type = P4/mmm (123)
1.0
3.6714 0.0000 0.0000
0.0000 3.6714 0.0000
0.0000 0.0000 3.8607
Ni Os Al H
2 1 1 1
direct
0.0000 0.5000 0.0000
0.5000 0.0000 0.0000
0.0000 0.0000 0.5000
0.5000 0.5000 0.5000
0.0000 0.0000 0.0000

# 2
ScTi3Ga3, relaxed, DFT PBE; energy = -6.00 eV per atom; N(E_F) = 8.60 states/eV/cell; spin magnetization = 0.000 μB per atom; space-group type = P6_3/m (176)
1.0
4.4107 0.0000 0.0000
0.0000 7.9084 0.0000
0.0000 -3.9542 6.8489
Sc Ti Ga
2 6 6
direct
0.2500 0.6667 0.3333
0.7500 0.3333 0.6667
0.2500 0.7782 0.7774
0.2500 0.2226 0.0008
0.2500 0.9992 0.2218
0.7500 0.2218 0.2226
0.7500 0.7774 0.9992
0.7500 0.0008 0.7782
0.7500 0.6202 0.5457
0.7500 0.4543 0.0745
0.7500 0.9255 0.3798
0.2500 0.3798 0.4543
0.2500 0.5457 0.9255
0.2500 0.0745 0.6202

# 3
CaSnOsO6, relaxed, DFT PBE; energy = -6.87 eV per atom; N(E_F) = 8.35 states/eV/cell; spin magnetization = 0.220 μB per atom; raw formation energy = -1.646 eV/atom; space-group type = P-31c (163)
1.0
-0.4170 2.0961 -4.9203
-4.3695 -1.8366 2.5122
-1.5068 9.0091 3.9656
Ca Sn Os O
2 2 2 12
direct
0.0000 0.0000 0.0000
0.0000 0.0000 0.5000
0.3333 0.6667 0.2500
0.6667 0.3333 0.7500
0.6667 0.3333 0.2500
0.3333 0.6667 0.7500
0.6452 0.6233 0.1412
0.9781 0.3548 0.1412
0.3548 0.9781 0.6412
0.0219 0.6452 0.8588
0.3767 0.3548 0.3588
0.9781 0.6233 0.3588
0.6233 0.9781 0.8588
0.6452 0.0219 0.3588
0.0219 0.3767 0.6412
0.3767 0.0219 0.1412
0.6233 0.6452 0.6412
0.3548 0.3767 0.8588

# 4
AlReNi2, relaxed, DFT PBE; energy = -7.12 eV per atom; N(E_F) = 3.32 states/eV/cell; spin magnetization = 0.000 μB per atom; space-group type = P2/m (10)
1.0
-1.5595 2.7930 -1.8107
-0.7996 -1.6730 -1.8920
-5.2512 -2.4938 0.6758
Re Al Ni
1 1 2
direct
0.5000 0.2500 0.2500
0.5000 0.7500 0.7500
0.0000 0.9980 0.0030
0.0000 0.5020 0.4970